1.
Below is an optimized crystal structure of LaNd3Ru8, with properties calculated at the GGA-PBE level. Values from VASP.

Structure (Quantum ESPRESSO input):
```
&SYSTEM
  ibrav = 0, nat = 12, ntyp = 3
/
ATOMIC_SPECIES
La 138.91 La.upf
Nd 144.24 Nd.upf
Ru 101.07 Ru.upf
CELL_PARAMETERS angstrom
-0.9372 1.3347 5.1792
-5.0975 0.3027 1.8460
-1.6989 -8.0651 4.6173
ATOMIC_POSITIONS crystal
La 0.8735 0.8735 0.3796
Nd 0.3740 0.3740 0.8779
Nd 0.9982 0.9982 0.0053
Nd 0.4990 0.4990 0.5031
Ru 0.9301 0.4416 0.1867
Ru 0.4259 0.9416 0.6909
Ru 0.4416 0.4416 0.1867
Ru 0.9416 0.9416 0.6909
Ru 0.1913 0.1913 0.4261
Ru 0.6917 0.6917 0.9250
Ru 0.4416 0.9301 0.1867
Ru 0.9416 0.4259 0.6909
```

## Properties
VASP energy in eV per atom: -7.9178
ρ in g cm⁻³: 10.072
Fermi-level density of states in states/eV/f.u.: 17.5



2.
Below is an optimized crystal structure of LaNdRu, with properties calculated at the GGA-PBE level. Values from VASP.

Structure (Quantum ESPRESSO input):
```
&SYSTEM
  ibrav = 0, nat = 6, ntyp = 3
/
ATOMIC_SPECIES
La 138.91 La.upf
Nd 144.24 Nd.upf
Ru 101.07 Ru.upf
CELL_PARAMETERS angstrom
3.9520 0.0000 0.0000
-1.9760 6.0979 -0.7532
0.0000 0.9131 6.7809
ATOMIC_POSITIONS crystal
La 0.5030 0.0059 0.2350
La 0.2286 0.4572 0.4877
Nd 0.2287 0.4574 0.9853
Nd 0.9512 0.9024 0.7401
Ru 0.8493 0.6987 0.2365
Ru 0.6163 0.2326 0.7287
```

## Properties
E above lowest polymorph in meV per atom: 0
ρ in g cm⁻³: 7.681
Fermi-level density of states in states/eV/f.u.: 2.5



3.
Below is an optimized crystal structure of La4NdRu, with properties calculated at the GGA-PBE level. Values from VASP.

Structure (Quantum ESPRESSO input):
```
&SYSTEM
  ibrav = 0, nat = 6, ntyp = 3
/
ATOMIC_SPECIES
La 138.91 La.upf
Nd 144.24 Nd.upf
Ru 101.07 Ru.upf
CELL_PARAMETERS angstrom
4.9218 -0.4902 0.0000
0.4898 4.9218 0.0000
-0.0001 0.0000 8.7767
ATOMIC_POSITIONS crystal
La 0.5000 0.0000 0.3047
La 0.0000 0.5000 0.3047
La 0.0000 0.5000 0.6953
La 0.5000 0.0000 0.6953
Nd 0.0000 0.0000 0.0000
Ru 0.5000 0.5000 0.5000
```

## Properties
E above lowest polymorph in meV per atom: 257
ρ in g cm⁻³: 6.194
Fermi-level density of states in states/eV/f.u.: 9.4



4.
Below is an optimized crystal structure of LaNdRu, with properties calculated at the GGA-PBE level. Values from VASP.

Structure (Quantum ESPRESSO input):
```
&SYSTEM
  ibrav = 0, nat = 3, ntyp = 3
/
ATOMIC_SPECIES
Ru 101.07 Ru.upf
Nd 144.24 Nd.upf
La 138.91 La.upf
CELL_PARAMETERS angstrom
6.3720 0.0000 0.0000
0.0000 4.1538 0.0000
0.0000 -2.0769 3.5973
ATOMIC_POSITIONS crystal
Ru 0.0057 0.0000 0.0000
Nd 0.7637 0.6667 0.3333
La 0.2306 0.3333 0.6667
```

## Properties
E above lowest polymorph in meV per atom: 41
ρ in g cm⁻³: 6.701
Fermi-level density of states in states/eV/f.u.: 1.1



5.
Below is an optimized crystal structure of LaNdRu, with properties calculated at the GGA-PBE level. Values from VASP.

Structure (Quantum ESPRESSO input):
```
&SYSTEM
  ibrav = 0, nat = 6, ntyp = 3
/
ATOMIC_SPECIES
La 138.91 La.upf
Nd 144.24 Nd.upf
Ru 101.07 Ru.upf
CELL_PARAMETERS angstrom
-4.0958 3.3232 1.3342
-6.1079 -2.2045 -2.1381
-2.1811 -4.0884 3.5185
ATOMIC_POSITIONS crystal
La 0.6160 0.7890 0.1020
La 0.3542 0.3132 0.3083
Nd 0.8591 0.3035 0.7936
Nd 0.1111 0.7987 0.6166
Ru 0.8767 0.2698 0.2966
Ru 0.0934 0.8324 0.1137
```

## Properties
E above lowest polymorph in meV per atom: 21
ρ in g cm⁻³: 7.035
Fermi-level density of states in states/eV/f.u.: 1.3



6.
Below is an optimized crystal structure of LaNd4Ru2, with properties calculated at the GGA-PBE level. Values from VASP.

Structure (Quantum ESPRESSO input):
```
&SYSTEM
  ibrav = 0, nat = 14, ntyp = 3
/
ATOMIC_SPECIES
La 138.91 La.upf
Nd 144.24 Nd.upf
Ru 101.07 Ru.upf
CELL_PARAMETERS angstrom
6.8611 0.0000 0.0000
0.0000 8.6468 -3.0422
0.0000 -0.4399 7.2571
ATOMIC_POSITIONS crystal
La 0.2500 0.7900 0.0163
La 0.7500 0.2100 0.9837
Nd 0.5012 0.4350 0.7166
Nd 0.2500 0.2086 0.2405
Nd 0.7500 0.7914 0.7595
Nd 0.9988 0.4350 0.7166
Nd 0.7500 0.9914 0.3313
Nd 0.0012 0.5650 0.2834
Nd 0.4988 0.5650 0.2834
Nd 0.2500 0.0086 0.6687
Ru 0.2500 0.3355 0.9653
Ru 0.7500 0.6645 0.0347
Ru 0.7500 0.3165 0.3555
Ru 0.2500 0.6835 0.6445
```

## Properties
VASP energy in eV per atom: -6.2265
ρ in g cm⁻³: 7.236
Fermi-level density of states in states/eV/f.u.: 7.3



7.
Below is an optimized crystal structure of La2NdRu2, with properties calculated at the GGA-PBE level. Values from VASP.

Structure (Quantum ESPRESSO input):
```
&SYSTEM
  ibrav = 0, nat = 10, ntyp = 3
/
ATOMIC_SPECIES
La 138.91 La.upf
Nd 144.24 Nd.upf
Ru 101.07 Ru.upf
CELL_PARAMETERS angstrom
4.8124 0.0000 0.0000
0.0000 5.0949 0.9916
0.0000 0.6023 11.1906
ATOMIC_POSITIONS crystal
La 0.2500 0.9457 0.8898
La 0.7500 0.0543 0.1102
La 0.2500 0.2257 0.5529
La 0.7500 0.7743 0.4471
Nd 0.2500 0.4879 0.2126
Nd 0.7500 0.5121 0.7874
Ru 0.2500 0.6278 0.6478
Ru 0.7500 0.3722 0.3522
Ru 0.2500 0.3646 0.9553
Ru 0.7500 0.6354 0.0447
```

## Properties
VASP energy in eV per atom: -6.7990
ρ in g cm⁻³: 7.635
Fermi-level density of states in states/eV/f.u.: 4.1



8.
Below is an optimized crystal structure of La4NdRu, with properties calculated at the GGA-PBE level. Values from VASP.

Structure (Quantum ESPRESSO input):
```
&SYSTEM
  ibrav = 0, nat = 12, ntyp = 3
/
ATOMIC_SPECIES
La 138.91 La.upf
Nd 144.24 Nd.upf
Ru 101.07 Ru.upf
CELL_PARAMETERS angstrom
-0.9627 4.2698 5.2514
3.1468 -4.0964 4.6039
6.7798 3.9203 -6.7427
ATOMIC_POSITIONS crystal
La 0.0846 0.2010 0.1822
La 0.5975 0.9812 0.1822
La 0.3025 0.4531 0.6274
La 0.6975 0.5469 0.3726
La 0.1751 0.8257 0.3726
La 0.4025 0.0188 0.8178
La 0.8249 0.1743 0.6274
La 0.9154 0.7990 0.8178
Nd 0.2644 0.5144 0.0289
Nd 0.7356 0.4856 0.9711
Ru 0.0538 0.8038 0.6076
Ru 0.9462 0.1962 0.3924
```

## Properties
E above lowest polymorph in meV per atom: 0
ρ in g cm⁻³: 6.255
Fermi-level density of states in states/eV/f.u.: 8.0